This record from Alexandria describes an optimized crystal structure of K3MoF. The functional is GGA+U.

Cell lengths 5.6167, 5.6167, 5.6167 Å; angles 90.00, 90.00, 90.00 degrees
Last column: nearest neighbours and their distance in Å.
Fractional positions:
K (0.0000, 0.0000, 0.5000)  2 F 2.81
K (0.0000, 0.5000, 0.0000)  2 F 2.81
K (0.5000, 0.0000, 0.0000)  2 F 2.81
Mo (0.5000, 0.5000, 0.5000)  12 K 3.97
F (0.0000, 0.0000, 0.0000)  6 K 2.81

Summary:
crystal system	cubic
M_tot	5.8	μB per cell
space group	No. 221
uncorrected energy	-2.946	eV per atom
energy above the most stable polymorph in this dataset	0.000	eV per atom